[1]
La6SnHg2 | PBE | relaxed

Cell and atoms, written as extended XYZ:
```
9
Lattice="8.5751 0.0000 0.0000 -4.2875 7.4262 0.0000 0.0000 0.0000 4.6744" Properties=species:S:1:pos:R:3 pbc="T T T"
La -1.1736 2.0327 0.0000
La -2.5754 4.4607 2.3372
La 2.3471 0.0000 0.0000
La 1.7122 2.9655 2.3372
La 5.1508 0.0000 2.3372
La 3.1140 5.3936 0.0000
Sn 0.0000 0.0000 2.3372
Hg 0.0000 4.9508 0.0000
Hg 4.2875 2.4754 0.0000
```

Output
The calculation puts the energy at -4.198 eV/atom. The formation energy from the elements is -0.40 eV/atom.



[2]
Sm3Ge4Rh2 | PBE | relaxed

Cell and atoms, written as extended XYZ:
```
9
Lattice="5.5222 -2.1553 0.0000 5.5222 2.1553 0.0000 -2.7055 0.0000 7.8885" Properties=species:S:1:pos:R:3 pbc="T T T"
Sm 0.0000 0.0000 0.0000
Sm 3.3397 0.0000 2.4056
Sm 4.9992 0.0000 5.4829
Ge -0.0548 0.0000 3.1396
Ge 0.6854 0.0000 7.2953
Ge 7.6535 0.0000 0.5932
Ge 8.3937 0.0000 4.7489
Rh 1.7005 0.0000 4.9864
Rh 6.6383 0.0000 2.9021
```

Output
The calculation puts the energy at -6.142 eV/atom. The formation energy from the elements is -0.88 eV/atom. For the energy above the most stable polymorph in this dataset, the calculation gives 0.000 eV per atom.



[3]
ErTmLuCd | PBE | relaxed

Cell and atoms, written as extended XYZ:
```
4
Lattice="0.0000 3.7958 3.7958 3.7958 0.0000 3.7958 3.7958 3.7958 0.0000" Properties=species:S:1:pos:R:3 pbc="T T T"
Er 0.0000 0.0000 0.0000
Tm 3.7958 3.7958 3.7958
Lu 5.6937 5.6937 5.6937
Cd 1.8979 1.8979 1.8979
```

Output
The calculation puts the energy at -3.639 eV/atom. The formation energy from the elements is -0.02 eV/atom.



[4]
K2Ce2ZnS6 | PBE | relaxed

Cell and atoms, written as extended XYZ:
```
11
Lattice="3.3702 -6.3721 0.0000 3.3702 6.3721 0.0000 -2.0771 0.0000 7.4881" Properties=species:S:1:pos:R:3 pbc="T T T"
K 3.3702 4.3942 0.0000
K 3.3702 -4.3942 0.0000
Ce 2.3317 2.1046 3.7440
Ce 2.3317 -2.1046 3.7440
Zn -1.0385 0.0000 3.7440
S 0.1480 2.3577 5.2602
S 0.8798 0.0000 2.4872
S 0.1480 -2.3577 5.2602
S 4.5153 2.3577 2.2279
S 3.7836 0.0000 5.0009
S 4.5153 -2.3577 2.2279
```

Output
The calculation puts the energy at -5.073 eV/atom. As for the formation energy (no corrections): -1427.5 meV/atom.



[5]
BaZnSN2 | PBE | relaxed

Cell and atoms, written as extended XYZ:
```
5
Lattice="5.2745 0.0000 0.0000 0.0000 5.2745 0.0000 0.0000 0.0000 6.2652" Properties=species:S:1:pos:R:3 pbc="T T T"
Ba 0.0000 0.0000 0.0000
Zn 2.6373 2.6373 3.1326
S 0.0000 0.0000 3.1326
N 0.0000 2.6373 0.0000
N 2.6373 0.0000 0.0000
```

Output
The calculation puts the energy at -3.224 eV/atom. As for the formation energy (no corrections): 1570.9 meV/atom. For the energy above the most stable polymorph in this dataset, the calculation gives 1.083 eV per atom.



[6]
RbEuAg2 | PBE | relaxed

Cell and atoms, written as extended XYZ:
```
4
Lattice="4.0358 0.0000 0.0000 0.0000 4.0358 0.0000 0.0000 0.0000 8.2970" Properties=species:S:1:pos:R:3 pbc="T T T"
Rb 0.0000 0.0000 0.0000
Eu 0.0000 0.0000 4.1485
Ag 2.0179 2.0179 2.6063
Ag 2.0179 2.0179 5.6908
```

Output
The calculation puts the energy at -4.340 eV/atom. The formation energy from the elements is -0.10 eV/atom.



[7]
LaTb4Pr15 | PBE | relaxed

Cell and atoms, written as extended XYZ:
```
20
Lattice="5.2245 0.0000 0.0000 0.0000 5.2245 0.0000 0.0000 0.0000 26.0285" Properties=species:S:1:pos:R:3 pbc="T T T"
La 0.0000 0.0000 0.0000
Tb 0.0000 0.0000 5.2474
Tb 0.0000 0.0000 10.4285
Tb 0.0000 0.0000 15.5999
Tb 0.0000 0.0000 20.7811
Pr 0.0000 2.6122 2.6616
Pr 0.0000 2.6122 7.8394
Pr 0.0000 2.6122 13.0142
Pr 0.0000 2.6122 18.1891
Pr 0.0000 2.6122 23.3668
Pr 2.6122 0.0000 2.6616
Pr 2.6122 0.0000 7.8394
Pr 2.6122 0.0000 13.0142
Pr 2.6122 0.0000 18.1891
Pr 2.6122 0.0000 23.3668
Pr 2.6122 2.6122 0.0000
Pr 2.6122 2.6122 5.2717
Pr 2.6122 2.6122 10.4277
Pr 2.6122 2.6122 15.6008
Pr 2.6122 2.6122 20.7568
```

Output
The calculation puts the energy at -4.744 eV/atom. The formation energy from the elements is 0.01 eV/atom.



[8]
Ca2Ac3Os | PBE | relaxed

Cell and atoms, written as extended XYZ:
```
12
Lattice="5.2486 -4.7410 0.0000 5.2486 4.7410 0.0000 -1.4372 0.0000 9.4524" Properties=species:S:1:pos:R:3 pbc="T T T"
Ca 2.7405 2.7136 7.9504
Ca 5.6010 2.7136 6.2282
Ca 3.4591 -2.7136 3.2242
Ca 6.3196 -2.7136 1.5020
Ac 4.8893 2.7879 2.3631
Ac 2.6843 0.4613 4.6459
Ac 1.9657 -0.4613 9.3720
Ac 7.0944 0.4613 0.0803
Ac 6.3758 -0.4613 4.8065
Ac 4.1708 -2.7879 7.0893
Os 4.1708 0.1481 7.0893
Os 4.8893 -0.1481 2.3631
```

Output
The calculation puts the energy at -4.533 eV/atom. The formation energy from the elements is 0.06 eV/atom.



Look up the energy of the eighth one. -4.533 eV/atom



Copy entry 8 word for word.
Ca2Ac3Os | PBE | relaxed

Cell and atoms, written as extended XYZ:
```
12
Lattice="5.2486 -4.7410 0.0000 5.2486 4.7410 0.0000 -1.4372 0.0000 9.4524" Properties=species:S:1:pos:R:3 pbc="T T T"
Ca 2.7405 2.7136 7.9504
Ca 5.6010 2.7136 6.2282
Ca 3.4591 -2.7136 3.2242
Ca 6.3196 -2.7136 1.5020
Ac 4.8893 2.7879 2.3631
Ac 2.6843 0.4613 4.6459
Ac 1.9657 -0.4613 9.3720
Ac 7.0944 0.4613 0.0803
Ac 6.3758 -0.4613 4.8065
Ac 4.1708 -2.7879 7.0893
Os 4.1708 0.1481 7.0893
Os 4.8893 -0.1481 2.3631
```

Output
The calculation puts the energy at -4.533 eV/atom. The formation energy from the elements is 0.06 eV/atom.



What did the third record say?
ErTmLuCd | PBE | relaxed

Cell and atoms, written as extended XYZ:
```
4
Lattice="0.0000 3.7958 3.7958 3.7958 0.0000 3.7958 3.7958 3.7958 0.0000" Properties=species:S:1:pos:R:3 pbc="T T T"
Er 0.0000 0.0000 0.0000
Tm 3.7958 3.7958 3.7958
Lu 5.6937 5.6937 5.6937
Cd 1.8979 1.8979 1.8979
```

Output
The calculation puts the energy at -3.639 eV/atom. The formation energy from the elements is -0.02 eV/atom.



The highest energy belongs to which entry? BaZnSN2